Record 1
The following is a DFT calculation (PBE-GGA) of a geometry-optimized AlPd3S structure.

Values from the calculation:
For the calculated volume, the calculation gives 19.1 Å³/atom. As for the space group: No. 221. The calculation puts the energy relative to the lowest polymorph listed for this composition at 0.406 eV/atom. The calculation puts the uncorrected formation energy at 0.381 eV per atom. For the density, the calculation gives 6.58 Mg/m³.

Geometry as extended XYZ:
```
5
Lattice="-3.263 -0.119 3.199 3.152 -0.919 3.181 0.560 4.476 0.738" Properties=species:S:1:pos:R:3 pbc="T T T"
Al 0.000 0.000 0.000
Pd -1.631 -0.060 1.600
S 0.225 1.719 3.559
Pd 1.576 -0.459 1.590
Pd 0.280 2.238 0.369
```

***

Record 2
The following is a DFT calculation (PBE-GGA) of a geometry-optimized Li2Cd2Cu structure.

Values from the calculation:
For the calculated volume, the calculation gives 17.1 Å³/atom. As for the space group: No. 12. The calculation puts the energy relative to the lowest polymorph listed for this composition at 0.000 eV/atom. For the density, the calculation gives 5.86 Mg/m³.

Geometry as extended XYZ:
```
5
Lattice="-2.183 -2.065 0.962 2.543 -4.930 0.362 0.313 -0.264 5.320" Properties=species:S:1:pos:R:3 pbc="T T T"
Cu 0.000 0.000 0.000
Li 0.104 -1.498 2.196
Cd 0.421 -4.362 1.941
Li 0.569 -5.761 4.448
Cd 0.252 -2.897 4.703
```

***

Record 3
The following is a DFT calculation (PBE-GGA) of a geometry-optimized Sc2HPtRh structure.

Values from the calculation:
For the calculated volume, the calculation gives 14.6 Å³/atom. As for the space group: No. 123. The calculation puts the energy relative to the lowest polymorph listed for this composition at 0.000 eV/atom. For the density, the calculation gives 8.86 Mg/m³.

Geometry as extended XYZ:
```
5
Lattice="4.554 0.000 0.000 0.000 4.554 0.000 0.000 0.000 3.515" Properties=species:S:1:pos:R:3 pbc="T T T"
Sc 0.000 2.277 0.000
H 0.000 0.000 0.000
Pt 2.277 2.277 1.757
Rh 0.000 0.000 1.757
Sc 2.277 0.000 0.000
```

***

Record 4
The following is a DFT calculation (PBE-GGA) of a geometry-optimized Ca2Mg2Cu structure.

Values from the calculation:
For the calculated volume, the calculation gives 30.8 Å³/atom. As for the space group: No. 127. The calculation puts the energy relative to the lowest polymorph listed for this composition at 0.325 eV/atom. For the density, the calculation gives 2.07 Mg/m³.

Geometry as extended XYZ:
```
10
Lattice="-4.412 1.499 -6.089 -4.056 -6.360 1.374 -3.271 2.744 3.046" Properties=species:S:1:pos:R:3 pbc="T T T"
Ca -3.413 -3.975 -0.084
Mg -8.024 -1.451 -2.794
Ca -2.148 -0.536 -1.824
Cu -4.234 -2.430 -2.357
Mg -6.667 -3.531 0.538
Mg -3.715 -0.665 1.125
Ca -5.055 -0.886 -4.630
Ca -6.321 -4.325 -2.891
Mg -5.073 1.415 -2.207
Cu 0.000 0.000 0.000
```